! Be2ReMo (SCAN, single point on PBEsol structure); values from VASP
&SYSTEM
  ibrav = 0, nat = 4, ntyp = 3
/
ATOMIC_SPECIES
Mo 95.94 Mo.upf
Be 9.01 Be.upf
Re 186.21 Re.upf
CELL_PARAMETERS angstrom
2.661 0.000 0.000
-1.330 4.116 -0.010
0.000 -0.837 4.566
ATOMIC_POSITIONS crystal
Mo 0.000 0.000 0.500
Be 0.753 0.505 0.767
Be 0.247 0.495 0.233
Re 0.500 0.000 0.000
! - DOS at the Fermi energy: 2.3 states/eV per cell
! - Formation energy: 0.232 eV/atom
! - Magnetic moment: 0.0000 μB/atom
! - Energy above the lowest structure with this stoichiometry: 47.6 kJ per mole of atoms

***

! Mg2AsRu2 (SCAN, single point on PBEsol structure); values from VASP
&SYSTEM
  ibrav = 0, nat = 10, ntyp = 3
/
ATOMIC_SPECIES
Mg 24.30 Mg.upf
As 74.92 As.upf
Ru 101.07 Ru.upf
CELL_PARAMETERS angstrom
-2.327 -3.582 0.529
5.104 -3.073 1.643
-0.989 1.516 5.909
ATOMIC_POSITIONS crystal
Mg 0.500 0.337 0.163
Mg 0.500 0.837 0.337
Mg 0.500 0.163 0.663
Mg 0.500 0.663 0.837
As 0.000 0.000 0.000
As 0.000 0.500 0.500
Ru 0.000 0.355 0.855
Ru 0.000 0.645 0.145
Ru 0.000 0.855 0.645
Ru 0.000 0.145 0.355
! - DOS at the Fermi energy: 2.6 states/eV per cell
! - Formation energy: -0.374 eV/atom
! - Magnetic moment: 0.0000 μB/atom

***

! CaMgCr2 (SCAN, single point on PBEsol structure); values from VASP
&SYSTEM
  ibrav = 0, nat = 4, ntyp = 3
/
ATOMIC_SPECIES
Mg 24.30 Mg.upf
Cr 52.00 Cr.upf
Ca 40.08 Ca.upf
CELL_PARAMETERS angstrom
3.393 0.000 0.000
0.000 5.047 0.000
-1.696 -2.524 4.628
ATOMIC_POSITIONS crystal
Mg 0.480 0.480 0.960
Cr 0.704 0.204 0.408
Cr 0.045 0.045 0.089
Ca 0.271 0.771 0.543
! - DOS at the Fermi energy: 1.7 states/eV per cell
! - Formation energy: 0.315 eV/atom
! - Magnetic moment: 0.0820 μB/atom